{
  "formula": "Dy4Er2MgSc",
  "functional": "GGA-PBE",
  "state": "relaxed",
  "vol_a3_per_atom": 29.3,
  "spacegroup": "P2/m, No. 10",
  "crystal_system": "monoclinic",
  "final_energy_ev_per_cell": -35.2,
  "lattice_angstrom": [[4.930, 0.000, 0.000], [0.000, 4.929, 0.000], [-0.013, 0.000, 9.645]],
  "species": ["Dy", "Dy", "Dy", "Dy", "Er", "Er", "Mg", "Sc"],
  "frac_coords": [[0.000, 0.000, 0.247], [0.000, 0.000, 0.753], [0.499, 0.500, 0.247], [0.501, 0.500, 0.753], [0.000, 0.500, 0.000], [0.500, 0.000, 0.500], [0.000, 0.500, 0.500], [0.500, 0.000, 0.000]]
}

{
  "formula": "Dy2ErMg5Sc2",
  "functional": "GGA-PBE",
  "state": "relaxed",
  "vol_a3_per_atom": 26.2,
  "spacegroup": "P4/mbm, No. 127",
  "crystal_system": "tetragonal",
  "final_energy_ev_per_cell": -68.2,
  "lattice_angstrom": [[10.288, 0.000, 0.000], [0.000, 10.288, 0.000], [0.000, 0.000, 4.952]],
  "species": ["Dy", "Dy", "Dy", "Dy", "Er", "Er", "Mg", "Mg", "Mg", "Mg", "Mg", "Mg", "Mg", "Mg", "Mg", "Mg", "Sc", "Sc", "Sc", "Sc"],
  "frac_coords": [[0.179, 0.321, 0.000], [0.321, 0.821, 0.000], [0.679, 0.179, 0.000], [0.821, 0.679, 0.000], [0.000, 0.000, 0.000], [0.500, 0.500, 0.000], [0.000, 0.500, 0.500], [0.069, 0.797, 0.500], [0.203, 0.069, 0.500], [0.297, 0.569, 0.500], [0.431, 0.297, 0.500], [0.500, 0.000, 0.500], [0.569, 0.703, 0.500], [0.703, 0.431, 0.500], [0.797, 0.931, 0.500], [0.931, 0.203, 0.500], [0.116, 0.616, 0.000], [0.384, 0.116, 0.000], [0.616, 0.884, 0.000], [0.884, 0.384, 0.000]]
}

{
  "formula": "Dy4ErMgSe8",
  "functional": "GGA-PBE",
  "state": "relaxed",
  "vol_a3_per_atom": 29.2,
  "spacegroup": "R3m, No. 160",
  "e_form_raw_ev_per_atom": -1.716,
  "crystal_system": "trigonal",
  "final_energy_ev_per_cell": -76.5,
  "lattice_angstrom": [[4.165, 2.405, 6.799], [-4.165, 2.405, 6.799], [0.000, -4.809, 6.799]],
  "species": ["Dy", "Dy", "Dy", "Dy", "Er", "Mg", "Se", "Se", "Se", "Se", "Se", "Se", "Se", "Se"],
  "frac_coords": [[0.000, 0.000, 0.000], [0.135, 0.622, 0.622], [0.622, 0.135, 0.622], [0.622, 0.622, 0.135], [0.622, 0.622, 0.622], [0.250, 0.250, 0.250], [0.379, 0.379, 0.379], [0.380, 0.380, 0.863], [0.380, 0.863, 0.380], [0.401, 0.865, 0.865], [0.863, 0.380, 0.380], [0.865, 0.401, 0.865], [0.865, 0.865, 0.401], [0.867, 0.867, 0.867]]
}

{
  "formula": "Sm2Dy2ErMg2",
  "functional": "GGA-PBE",
  "state": "relaxed",
  "vol_a3_per_atom": 29.6,
  "spacegroup": "R-3m, No. 166",
  "crystal_system": "trigonal",
  "final_energy_ev_per_cell": -26.5,
  "lattice_angstrom": [[2.729, 1.576, 8.043], [-2.729, 1.576, 8.043], [0.000, -3.151, 8.043]],
  "species": ["Sm", "Sm", "Dy", "Dy", "Er", "Mg", "Mg"],
  "frac_coords": [[0.155, 0.155, 0.155], [0.845, 0.845, 0.845], [0.426, 0.426, 0.426], [0.574, 0.574, 0.574], [0.000, 0.000, 0.000], [0.290, 0.290, 0.290], [0.710, 0.710, 0.710]]
}

{
  "formula": "SmDy2ErMg",
  "functional": "GGA-PBE",
  "state": "relaxed",
  "vol_a3_per_atom": 30.3,
  "spacegroup": "P2_1/m, No. 11",
  "crystal_system": "monoclinic",
  "final_energy_ev_per_cell": -40.0,
  "lattice_angstrom": [[6.121, 0.000, 0.000], [0.000, 5.578, 0.000], [-3.016, 0.000, 8.869]],
  "species": ["Sm", "Sm", "Dy", "Dy", "Dy", "Dy", "Er", "Er", "Mg", "Mg"],
  "frac_coords": [[0.036, 0.250, 0.389], [0.964, 0.750, 0.611], [0.376, 0.750, 0.395], [0.449, 0.250, 0.201], [0.551, 0.750, 0.799], [0.624, 0.250, 0.605], [0.163, 0.750, 0.999], [0.837, 0.250, 0.001], [0.229, 0.250, 0.806], [0.771, 0.750, 0.194]]
}

{
  "formula": "SmDyErMg",
  "functional": "GGA-PBE",
  "state": "relaxed",
  "vol_a3_per_atom": 29.6,
  "spacegroup": "F-43m, No. 216",
  "crystal_system": "cubic",
  "final_energy_ev_per_cell": -15.3,
  "lattice_angstrom": [[0.000, 3.899, 3.899], [3.899, 0.000, 3.899], [3.899, 3.899, 0.000]],
  "species": ["Sm", "Dy", "Er", "Mg"],
  "frac_coords": [[0.000, 0.000, 0.000], [0.500, 0.500, 0.500], [0.250, 0.250, 0.250], [0.750, 0.750, 0.750]]
}